(1)
# PBE-GGA Dy5SnHg4, relaxed
data_Dy5SnHg4
_space_group_name_H-M_alt 'P 4/m m m'
_space_group_IT_number 123
_space_group_name_Hall '-P 4 2'
_cell_length_a 3.724
_cell_length_b 3.724
_cell_length_c 18.712
_cell_angle_alpha 90.00
_cell_angle_beta 90.00
_cell_angle_gamma 90.00
loop_
_atom_site_label
_atom_site_type_symbol
_atom_site_fract_x
_atom_site_fract_y
_atom_site_fract_z
_atom_site_occupancy
Dy1 Dy 0.000 0.000 0.000 1
Dy2 Dy 0.000 0.000 0.199 1
Dy3 Dy 0.000 0.000 0.397 1
Sn1 Sn 0.500 0.500 0.500 1
Hg1 Hg 0.500 0.500 0.100 1
Hg2 Hg 0.500 0.500 0.295 1
# - N(E_F): 0.899 states/eV/atom
# - E: -3.331 eV per atom

(2)
# PBE-GGA TbPu2C, relaxed
data_TbPu2C
_space_group_name_H-M_alt 'P 4/m m m'
_space_group_IT_number 123
_space_group_name_Hall '-P 4 2'
_cell_length_a 3.165
_cell_length_b 3.165
_cell_length_c 8.676
_cell_angle_alpha 90.00
_cell_angle_beta 90.00
_cell_angle_gamma 90.00
loop_
_atom_site_label
_atom_site_type_symbol
_atom_site_fract_x
_atom_site_fract_y
_atom_site_fract_z
_atom_site_occupancy
Tb1 Tb 0.000 0.000 0.000 1
Pu1 Pu 0.500 0.500 0.343 1
C1 C 0.000 0.000 0.500 1
# - N(E_F): 2.401 states/eV/atom
# - E: -10.399 eV per atom
# - Polymorph energy (0 for the lowest one): 0.00 eV/f.u.